No. 1
Computed, not measured: crystalline Tm2HfIr3 at its relaxed geometry at the PBE-GGA level of DFT.

Lattice parameters (Å, degrees): 4.7211 4.7211 5.8301 90.00 90.00 120.00
Space group P-3m1 (No. 164)
Unique sites:
Tm (0.3333, 0.6667, 0.1629)
Hf (0.0000, 0.0000, 0.5000)
Ir (0.0000, 0.0000, 0.0000)
Ir (0.3333, 0.6667, 0.6476)

Output
The value obtained for the formation energy is -0.915 eV per atom. The electronic total energy is -50.968 eV per cell. The value obtained for the volume is 18.8 Å³ per atom. The size of the total moment is 0.00 μB/f.u.



No. 2
Computed, not measured: crystalline YCd2Ru at its relaxed geometry at the PBE-GGA level of DFT.

Lattice parameters (Å, degrees): 5.637 8.519 3.469 90.00 90.00 90.00
Space group Cmmm (No. 65)
Unique sites:
Y (0.000, 0.000, 0.000)
Cd (0.250, 0.250, 0.500)
Ru (0.000, 0.500, 0.000)

Output
The value obtained for the formation energy is 0.081 eV per atom. The electronic total energy is -34.493 eV per cell. The value obtained for the volume is 20.8 Å³ per atom. The size of the total moment is 0.00 μB/f.u.



No. 3
Computed, not measured: crystalline K3ZrSn at its relaxed geometry at the PBE-GGA level of DFT.

Lattice parameters (Å, degrees): 6.412 6.412 6.412 90.00 90.00 90.00
Space group Pm-3m (No. 221)
Unique sites:
K (0.000, 0.000, 0.500)
Zr (0.000, 0.000, 0.000)
Sn (0.500, 0.500, 0.500)

Output
The value obtained for the formation energy is 1.220 eV per atom. The electronic total energy is -9.744 eV per cell. For the distance to the lowest polymorph of the same formula, the calculation gives 181 meV/atom. The value obtained for the volume is 52.7 Å³ per atom. The size of the total moment is 2.92 μB/f.u.



No. 4
Computed, not measured: crystalline AcEu2Hg at its relaxed geometry at the PBE-GGA level of DFT.

Lattice parameters (Å, degrees): 8.181 8.181 8.181 90.00 90.00 90.00
Space group Fm-3m (No. 225)
Unique sites:
Ac (0.000, 0.000, 0.000)
Eu (0.250, 0.250, 0.250)
Hg (0.000, 0.000, 0.500)

Output
The value obtained for the formation energy is -0.021 eV per atom. The electronic total energy is -100.174 eV per cell. For the distance to the lowest polymorph of the same formula, the calculation gives 229 meV/atom. The value obtained for the volume is 34.2 Å³ per atom. The size of the total moment is 15.51 μB/f.u.



No. 5
Computed, not measured: crystalline Mg2Cd5Hg5 at its relaxed geometry at the PBE-GGA level of DFT.

Lattice parameters (Å, degrees): 13.851 5.120 8.562 90.00 111.90 90.00
Space group C2/m (No. 12)
Unique sites:
Mg (0.144, 0.000, 0.303)
Cd (0.000, 0.500, 0.000)
Cd (0.112, 0.500, 0.501)
Cd (0.192, 0.500, 0.882)
Hg (0.000, 0.000, 0.500)
Hg (0.078, 0.000, 0.895)
Hg (0.243, 0.500, 0.285)

Output
The value obtained for the formation energy is -0.040 eV per atom. The electronic total energy is -19.500 eV per cell. For the distance to the lowest polymorph of the same formula, the calculation gives 0 meV/atom. The value obtained for the volume is 23.5 Å³ per atom. The size of the total moment is 0.00 μB/f.u.



No. 6
Computed, not measured: crystalline SbTe2Os at its relaxed geometry at the PBE-GGA level of DFT.

Lattice parameters (Å, degrees): 9.209 3.876 6.494 90.00 110.12 90.00
Space group Cm (No. 8)
Unique sites:
Sb (0.000, 0.000, 0.000)
Te (0.163, 0.500, 0.692)
Te (0.346, 0.500, 0.323)
Os (0.293, 0.000, 0.998)

Output
The uncorrected formation energy is 0.2088 eV per atom. The electronic total energy is -41.601 eV per cell. The value obtained for the volume is 27.2 Å³ per atom. The size of the total moment is 0.00 μB/f.u.



No. 7
Computed, not measured: crystalline HfCd4Ag5 at its relaxed geometry at the PBE-GGA level of DFT.

Lattice parameters (Å, degrees): 3.274 3.274 18.180 90.00 90.00 90.00
Space group P4/mmm (No. 123)
Unique sites:
Hf (0.000, 0.000, 0.000)
Cd (0.000, 0.000, 0.200)
Cd (0.000, 0.000, 0.401)
Ag (0.500, 0.500, 0.101)
Ag (0.500, 0.500, 0.301)
Ag (0.500, 0.500, 0.500)

Output
The value obtained for the formation energy is -0.025 eV per atom. The electronic total energy is -28.123 eV per cell. The value obtained for the volume is 19.5 Å³ per atom. The size of the total moment is 0.00 μB/f.u.



No. 8
Computed, not measured: crystalline Li2CrAu at its relaxed geometry at the PBE-GGA level of DFT.

Lattice parameters (Å, degrees): 6.241 6.241 6.241 90.00 90.00 90.00
Space group Fm-3m (No. 225)
Unique sites:
Li (0.250, 0.250, 0.250)
Cr (0.000, 0.000, 0.000)
Au (0.000, 0.000, 0.500)

Output
The value obtained for the formation energy is 0.015 eV per atom. The electronic total energy is -66.667 eV per cell. For the distance to the lowest polymorph of the same formula, the calculation gives 44 meV/atom. The value obtained for the volume is 15.2 Å³ per atom. The size of the total moment is 4.46 μB/f.u.



No. 9
Computed, not measured: crystalline Li4Er3US8 at its relaxed geometry at the PBE-GGA level of DFT.

Lattice parameters (Å, degrees): 7.7671 7.7671 18.5423 90.00 90.00 120.00
Space group R-3m (No. 166, hexagonal axes)
Unique sites:
Li (0.0000, 0.0000, 0.0000)
Li (0.0000, 0.5000, 0.0000)
Er (0.0000, 0.5000, 0.5000)
U (0.0000, 0.0000, 0.5000)
S (0.0000, 0.0000, 0.2497)
S (0.0023, 0.5012, 0.7494)

Output
The uncorrected formation energy is -1.7126 eV per atom. The electronic total energy is -279.159 eV per cell. The value obtained for the volume is 20.2 Å³ per atom. The size of the total moment is 2.97 μB/f.u.



No. 10
Computed, not measured: crystalline Hg2Au2Se at its relaxed geometry at the PBE-GGA level of DFT.

Lattice parameters (Å, degrees): 7.270 7.270 4.179 90.00 90.00 90.00
Space group P4/mbm (No. 127)
Unique sites:
Hg (0.159, 0.341, 0.000)
Au (0.144, 0.644, 0.500)
Se (0.000, 0.000, 0.500)

Output
The uncorrected formation energy is 0.1472 eV per atom. The electronic total energy is -19.814 eV per cell. For the distance to the lowest polymorph of the same formula, the calculation gives 56 meV/atom. The value obtained for the volume is 22.1 Å³ per atom. The size of the total moment is 0.00 μB/f.u.



No. 11
Computed, not measured: crystalline CdSb2Se at its relaxed geometry at the PBE-GGA level of DFT.

Lattice parameters (Å, degrees): 5.924 5.924 6.121 90.00 90.00 90.00
Space group I4/mmm (No. 139)
Unique sites:
Cd (0.000, 0.000, 0.000)
Sb (0.000, 0.500, 0.000)
Se (0.000, 0.000, 0.500)

Output
The uncorrected formation energy is -0.0789 eV per atom. The electronic total energy is -25.920 eV per cell. For the distance to the lowest polymorph of the same formula, the calculation gives 81 meV/atom. The value obtained for the volume is 26.9 Å³ per atom. The size of the total moment is 0.00 μB/f.u.



No. 12
Computed, not measured: crystalline Al5Hg3O12 at its relaxed geometry at the PBE-GGA level of DFT.

Lattice parameters (Å, degrees): 12.335 12.335 12.335 90.00 90.00 90.00
Space group Ia-3d (No. 230)
Unique sites:
Al (0.000, 0.000, 0.000)
Al (0.000, 0.250, 0.375)
Hg (0.000, 0.250, 0.125)
O (0.031, 0.037, 0.647)

Output
The uncorrected formation energy is -1.7887 eV per atom. The electronic total energy is -919.127 eV per cell. The value obtained for the volume is 11.7 Å³ per atom. The size of the total moment is 3.08 μB/f.u.